## ZnAgBr2 (GGA-PBEsol)

Data for ZnAgBr2 after structural relaxation.

Cell lengths 3.8600, 3.7735, 7.5690 Å; angles 90.00, 90.00, 120.76 degrees
Last column: nearest neighbours and their distance in Å.
Fractional coordinates of all 4 atoms:
Br 0.0000 0.0000 0.2497  2 Ag 2.70, 2 Zn 2.70
Br 0.0000 0.0000 0.7503  2 Ag 2.70, 2 Zn 2.70
Ag 0.5000 0.0000 0.0000  4 Br 2.70
Zn 0.5000 0.0000 0.5000  4 Br 2.70

Computed properties:
- Uncorrected formation energy: -9 kJ/mol of atoms
- Energy above the lowest structure with this stoichiometry: 0.463 eV/f.u.
- Magnetization: 0.00 μB/cell
- Symmetry: Cmmm, No. 65



## MnCu2Pb (GGA-PBEsol)

Data for MnCu2Pb after structural relaxation.

Cell lengths 4.0126, 4.0126, 4.7280 Å; angles 115.11, 115.11, 90.00 degrees
Last column: nearest neighbours and their distance in Å.
Fractional coordinates of all 4 atoms:
Cu 0.0000 0.0000 0.0000  4 Pb 2.76, 4 Cu 2.76, 4 Mn 2.84
Cu 0.7500 0.2500 0.5000  4 Mn 2.76, 4 Cu 2.76, 4 Pb 2.84
Mn 0.5000 0.5000 0.0000  4 Pb 2.76, 8 Cu 2.76-2.84
Pb 0.2500 0.7500 0.5000  4 Mn 2.76, 8 Cu 2.76-2.84

Computed properties:
- Magnetization: 3.68 μB/cell
- Symmetry: I-4m2, No. 119
- Formation energy from the elements: 0.397 eV per atom



## La2ZnOs (GGA-PBEsol)

Data for La2ZnOs after structural relaxation.

Cell lengths 4.0944, 4.3774, 5.7834 Å; angles 90.00, 110.73, 90.00 degrees
Last column: nearest neighbours and their distance in Å.
Fractional coordinates of all 4 atoms:
La 0.3889 0.5000 0.7778  3 Zn 3.02-3.20, 4 Os 3.10
La 0.1116 0.0000 0.2233  3 Os 3.02-3.19, 4 Zn 3.10
Zn 0.6843 0.5000 0.3685  2 Os 2.62
Os 0.8167 0.0000 0.6334  2 Zn 2.62

Computed properties:
- Magnetization: 0.00 μB/cell
- Symmetry: Amm2, No. 38
- Formation energy from the elements: -0.103 eV per atom



## BaCdAg (GGA-PBEsol)

Data for BaCdAg after structural relaxation.

Cell lengths 4.2884, 4.9092, 4.9092 Å; angles 120.00, 90.00, 90.00 degrees
Last column: nearest neighbours and their distance in Å.
Fractional coordinates of all 3 atoms:
Cd 0.5000 0.6667 0.3333  3 Ag 2.83
Ba 0.0000 0.3333 0.6667  6 Cd 3.55, 6 Ag 3.55
Ag 0.5000 0.0000 0.0000  3 Cd 2.83

Computed properties:
- Magnetization: 0.00 μB/cell
- Symmetry: P-6m2, No. 187
- Formation energy from the elements: -0.262 eV per atom



## Li2FeHg (GGA-PBEsol)

Data for Li2FeHg after structural relaxation.

Cell lengths 2.7234, 4.8909, 5.3298 Å; angles 115.77, 102.26, 95.40 degrees
Last column: nearest neighbours and their distance in Å.
Fractional coordinates of all 4 atoms:
Li 0.0000 0.0000 0.5000  6 Li 2.68-2.91, 2 Fe 2.72, 2 Hg 2.72
Li 0.5000 0.5000 0.5000  6 Li 2.68-2.91, 2 Hg 2.72, 2 Fe 2.72
Fe 0.5000 0.0000 0.0000  4 Hg 2.68-2.91, 4 Li 2.72, 2 Fe 2.72
Hg 0.0000 0.5000 0.0000  4 Fe 2.68-2.91, 4 Li 2.72, 2 Hg 2.72

Computed properties:
- Magnetization: 2.31 μB/cell
- Symmetry: C2/m, No. 12
- Formation energy from the elements: 0.163 eV per atom



## Ca2AlS (GGA-PBEsol)

Data for Ca2AlS after structural relaxation.

Cell lengths 5.1216, 5.1216, 5.1216 Å; angles 60.00, 60.00, 60.00 degrees
Last column: nearest neighbours and their distance in Å.
Fractional coordinates of all 4 atoms:
Ca 0.2500 0.2500 0.2500  4 S 3.14, 4 Al 3.14
Ca 0.7500 0.7500 0.7500  4 S 3.14, 4 Al 3.14
Al 0.0000 0.0000 0.0000  8 Ca 3.14
S 0.5000 0.5000 0.5000  8 Ca 3.14

Computed properties:
- Uncorrected formation energy: -50 kJ/mol of atoms
- Magnetization: 0.00 μB/cell
- Symmetry: Fm-3m, No. 225



## YCrBr (GGA-PBEsol)

Data for YCrBr after structural relaxation.

Cell lengths 3.5002, 4.4853, 4.4853 Å; angles 120.00, 90.00, 90.00 degrees
Last column: nearest neighbours and their distance in Å.
Fractional coordinates of all 3 atoms:
Y 0.3334 0.6667 0.3333  6 Br 3.13, 6 Cr 3.13
Cr 0.8334 0.3333 0.6667  3 Br 2.59
Br 0.8332 0.0000 0.0000  3 Cr 2.59

Computed properties:
- Uncorrected formation energy: 9 kJ/mol of atoms
- Magnetization: 3.09 μB/cell
- Symmetry: P-6m2, No. 187



## Cs2In2Sb3 (GGA-PBEsol)

Data for Cs2In2Sb3 after structural relaxation.

Cell lengths 7.5673, 15.8104, 17.9161 Å; angles 90.74, 90.00, 90.00 degrees
Last column: nearest neighbours and their distance in Å.
Fractional coordinates of all 56 atoms:
Cs 0.9603 0.3476 0.4810  5 Sb 3.67-3.91, 1 In 4.02
Cs 0.9704 0.0741 0.3910  2 In 3.68-3.77, 5 Sb 3.81-4.07
Cs 0.4603 0.6524 0.0190  5 Sb 3.67-3.91, 1 In 4.02
Cs 0.4776 0.1414 0.4944  6 Sb 3.68-3.99, 1 In 3.91
Cs 0.5224 0.8586 0.5056  6 Sb 3.68-3.99, 1 In 3.91
Cs 0.5296 0.0741 0.8910  2 In 3.68-3.77, 5 Sb 3.81-4.07
Cs 0.4486 0.4462 0.3979  3 Sb 3.63-3.72, 2 In 3.72-3.73
Cs 0.0224 0.1414 0.9944  6 Sb 3.68-3.99, 1 In 3.91
Cs 0.9486 0.5538 0.1021  3 Sb 3.63-3.72, 2 In 3.72-3.73
Cs 0.5397 0.3476 0.9810  5 Sb 3.67-3.91, 1 In 4.02
Cs 0.0397 0.6524 0.5190  5 Sb 3.67-3.91, 1 In 4.02
Cs 0.0514 0.4462 0.8979  3 Sb 3.63-3.72, 2 In 3.72-3.73
Cs 0.9776 0.8586 0.0056  6 Sb 3.68-3.99, 1 In 3.91
Cs 0.5514 0.5538 0.6021  3 Sb 3.63-3.72, 2 In 3.72-3.73
Cs 0.4704 0.9259 0.1090  2 In 3.68-3.77, 5 Sb 3.81-4.07
Cs 0.0296 0.9259 0.6090  2 In 3.68-3.77, 5 Sb 3.81-4.07
In 0.2904 0.0937 0.2309  4 Sb 2.86-2.88
In 0.7331 0.1796 0.6818  4 Sb 2.83-2.89
In 0.2385 0.5949 0.7584  4 Sb 2.87-2.94
In 0.2615 0.5949 0.2584  4 Sb 2.87-2.94
In 0.7808 0.6844 0.3258  4 Sb 2.83-2.96
In 0.7904 0.9063 0.2691  4 Sb 2.86-2.88
In 0.7385 0.4051 0.7416  4 Sb 2.87-2.94
In 0.2192 0.3156 0.6742  4 Sb 2.83-2.96
In 0.2669 0.8204 0.3182  4 Sb 2.83-2.89
In 0.2096 0.0937 0.7309  4 Sb 2.86-2.88
In 0.2808 0.3156 0.1742  4 Sb 2.83-2.96
In 0.2331 0.8204 0.8182  4 Sb 2.83-2.89
In 0.7615 0.4051 0.2416  4 Sb 2.87-2.94
In 0.7192 0.6844 0.8258  4 Sb 2.83-2.96
In 0.7096 0.9063 0.7691  4 Sb 2.86-2.88
In 0.7669 0.1796 0.1818  4 Sb 2.83-2.89
Sb 0.0353 0.9749 0.8252  3 In 2.86-2.87
Sb 0.0543 0.1665 0.6012  3 In 2.83-2.96
Sb 0.0659 0.6746 0.8836  3 In 2.83-2.89
Sb 0.6678 0.2522 0.3241  1 Sb 2.86, 2 In 2.88-2.94
Sb 0.2098 0.2464 0.8205  2 In 2.85-2.88, 1 Sb 2.86
Sb 0.3322 0.7478 0.6759  1 Sb 2.86, 2 In 2.88-2.94
Sb 0.4594 0.4756 0.1662  3 In 2.87-2.91
Sb 0.9457 0.8335 0.3988  3 In 2.83-2.96
Sb 0.5406 0.5244 0.8338  3 In 2.87-2.91
Sb 0.0406 0.4756 0.6662  3 In 2.87-2.91
Sb 0.5543 0.8335 0.8988  3 In 2.83-2.96
Sb 0.4341 0.6746 0.3836  3 In 2.83-2.89
Sb 0.9594 0.5244 0.3338  3 In 2.87-2.91
Sb 0.7098 0.7536 0.6795  2 In 2.85-2.88, 1 Sb 2.86
Sb 0.5659 0.3254 0.6164  3 In 2.83-2.89
Sb 0.4647 0.9749 0.3252  3 In 2.86-2.87
Sb 0.8322 0.2522 0.8241  1 Sb 2.86, 2 In 2.88-2.94
Sb 0.7902 0.7536 0.1795  2 In 2.85-2.88, 1 Sb 2.86
Sb 0.9341 0.3254 0.1164  3 In 2.83-2.89
Sb 0.5353 0.0251 0.6748  3 In 2.86-2.87
Sb 0.2902 0.2464 0.3205  2 In 2.85-2.88, 1 Sb 2.86
Sb 0.1678 0.7478 0.1759  1 Sb 2.86, 2 In 2.88-2.94
Sb 0.9647 0.0251 0.1748  3 In 2.86-2.87
Sb 0.4457 0.1665 0.1012  3 In 2.83-2.96

Computed properties:
- Uncorrected formation energy: -36 kJ/mol of atoms
- Magnetization: 0.00 μB/cell
- Symmetry: P2_1/c, No. 14



## Al2HgBr (GGA-PBEsol)

Data for Al2HgBr after structural relaxation.

Cell lengths 3.2679, 4.9492, 6.0683 Å; angles 114.07, 105.62, 90.00 degrees
Last column: nearest neighbours and their distance in Å.
Fractional coordinates of all 4 atoms:
Br 0.4930 0.4930 0.9861  6 Al 2.97-3.27, 2 Br 3.27
Al 0.7254 0.2254 0.4507  2 Al 2.83, 4 Hg 3.01
Al 0.0074 0.0074 0.0148  2 Al 2.83, 2 Hg 2.96, 4 Br 2.97
Hg 0.2742 0.7742 0.5484  6 Al 2.96-3.01, 2 Hg 3.27

Computed properties:
- Uncorrected formation energy: 6 kJ/mol of atoms
- Energy above the lowest structure with this stoichiometry: 0.444 eV/f.u.
- Magnetization: 0.00 μB/cell
- Symmetry: Imm2, No. 44



## Sr3PdPb (GGA-PBEsol)

Data for Sr3PdPb after structural relaxation.

Cell lengths 5.7045, 5.7045, 5.7045 Å; angles 90.00, 90.00, 90.00 degrees
Last column: nearest neighbours and their distance in Å.
Fractional coordinates of all 5 atoms:
Pb 0.5000 0.5000 0.5000  12 Sr 4.03
Pd 0.0000 0.0000 0.0000  6 Sr 2.85
Sr 0.0000 0.0000 0.5000  2 Pd 2.85
Sr 0.5000 0.0000 0.0000  2 Pd 2.85
Sr 0.0000 0.5000 0.0000  2 Pd 2.85

Computed properties:
- Magnetization: 0.00 μB/cell
- Symmetry: Pm-3m, No. 221
- Formation energy from the elements: -0.351 eV per atom



## BaMgMoF7 (GGA-PBEsol)

Data for BaMgMoF7 after structural relaxation.

Cell lengths 5.5933, 9.7287, 10.0095 Å; angles 90.00, 90.00, 92.54 degrees
Last column: nearest neighbours and their distance in Å.
Fractional coordinates of all 40 atoms:
F 0.5122 0.2491 0.7170  1 Mo 2.07, 1 Mg 2.08
F 0.1284 0.1228 0.5466  1 Mg 1.95, 1 Mo 2.03
F 0.9743 0.2475 0.7864  1 Mg 2.04, 1 Mo 2.06
F 0.8716 0.3772 0.0466  1 Mg 1.95, 1 Mo 2.03
F 0.2629 0.5071 0.1974  1 Mg 2.01, 1 Mo 2.07
F 0.3679 0.8763 0.5587  1 Mg 1.98, 1 Mo 2.04
F 0.6017 0.1300 0.9606  1 Mg 1.91
F 0.1284 0.6228 0.9534  1 Mg 1.95, 1 Mo 2.03
F 0.0257 0.7525 0.2136  1 Mg 2.04, 1 Mo 2.06
F 0.7371 0.4929 0.8026  1 Mg 2.01, 1 Mo 2.07
F 0.8960 0.8730 0.9579  1 Mo 2.01
F 0.6321 0.6237 0.0587  1 Mg 1.98, 1 Mo 2.04
F 0.7371 0.9929 0.6974  1 Mg 2.01, 1 Mo 2.07
F 0.4878 0.7509 0.2830  1 Mo 2.07, 1 Mg 2.08
F 0.2629 0.0071 0.3026  1 Mg 2.01, 1 Mo 2.07
F 0.0257 0.2525 0.2864  1 Mg 2.04, 1 Mo 2.06
F 0.3679 0.3763 0.9413  1 Mg 1.98, 1 Mo 2.04
F 0.5122 0.7491 0.7830  1 Mo 2.07, 1 Mg 2.08
F 0.3983 0.3700 0.4606  1 Mg 1.91
F 0.3983 0.8700 0.0394  1 Mg 1.91
F 0.4878 0.2509 0.2170  1 Mo 2.07, 1 Mg 2.08
F 0.1040 0.1270 0.0421  1 Mo 2.01
F 0.8960 0.3730 0.5421  1 Mo 2.01
F 0.6321 0.1237 0.4413  1 Mg 1.98, 1 Mo 2.04
F 0.9743 0.7475 0.7136  1 Mg 2.04, 1 Mo 2.06
F 0.8716 0.8772 0.4534  1 Mg 1.95, 1 Mo 2.03
F 0.1040 0.6270 0.4579  1 Mo 2.01
F 0.6017 0.6300 0.5394  1 Mg 1.91
Ba 0.7351 0.5024 0.3248  5 F 2.61-2.87
Ba 0.7351 0.0024 0.1752  5 F 2.61-2.87
Ba 0.2649 0.4976 0.6752  5 F 2.61-2.87
Ba 0.2649 0.9976 0.8248  5 F 2.61-2.87
Mo 0.8064 0.6843 0.8876  6 F 2.01-2.07
Mo 0.8064 0.1843 0.6124  6 F 2.01-2.07
Mo 0.1936 0.3157 0.1124  6 F 2.01-2.07
Mo 0.1936 0.8157 0.3876  6 F 2.01-2.07
Mg 0.3134 0.6906 0.1071  6 F 1.91-2.08
Mg 0.6866 0.3094 0.8929  6 F 1.91-2.08
Mg 0.6866 0.8094 0.6071  6 F 1.91-2.08
Mg 0.3134 0.1906 0.3929  6 F 1.91-2.08

Computed properties:
- Uncorrected formation energy: -300 kJ/mol of atoms
- Magnetization: 12.00 μB/cell
- Symmetry: P2_1/c, No. 14



## KCaF3 (GGA-PBEsol)

Data for KCaF3 after structural relaxation.

Cell lengths 4.4080, 4.4080, 4.4080 Å; angles 90.00, 90.00, 90.00 degrees
Last column: nearest neighbours and their distance in Å.
Fractional coordinates of all 5 atoms:
F 0.0000 0.0000 0.5000  2 Ca 2.20
F 0.0000 0.5000 0.0000  2 Ca 2.20
F 0.5000 0.0000 0.0000  2 Ca 2.20
K 0.5000 0.5000 0.5000  12 F 3.12
Ca 0.0000 0.0000 0.0000  6 F 2.20

Computed properties:
- Uncorrected formation energy: -333 kJ/mol of atoms
- Magnetization: 0.00 μB/cell
- Symmetry: Pm-3m, No. 221